The following is a PBE calculation of an optimized crystal structure of Tb3Nd4Zn4, from Alexandria.

## Properties
Space-group type: Immm (71)
Calculated total energy, Ha/atom: -0.13004
DFT formation energy, eV per atom: -0.08

abc: 4.736 8.169 9.213
angles: 116.32 104.90 90.00
Positions (direct):
Nd: 0.664 0.863 0.328
Nd: 0.336 0.137 0.672
Nd: 0.664 0.465 0.328
Nd: 0.336 0.535 0.672
Tb: 0.888 0.888 0.776
Tb: 0.000 0.500 0.000
Tb: 0.112 0.112 0.224
Zn: 0.225 0.725 0.450
Zn: 0.775 0.275 0.550
Zn: 0.500 0.847 0.000
Zn: 0.500 0.153 0.000